Entry 1:
DFT (PBE-GGA) results for crystalline ReSeNO2 at its relaxed geometry.

## Properties
- VASP energy (eV/atom) = -6.830
- formation energy without anion corrections (eV/atom) = 0.005

Cell and atoms, written as CIF:
```
data_ReSeNO2
_chemical_formula_sum 'Re1 Se1 N1 O2'
_space_group_name_H-M_alt 'P 4/m m m'
_space_group_IT_number 123
_space_group_name_Hall '-P 4 2'
_cell_length_a 3.838
_cell_length_b 3.838
_cell_length_c 4.143
_cell_angle_alpha 90.00
_cell_angle_beta 90.00
_cell_angle_gamma 90.00
loop_
_atom_site_label
_atom_site_type_symbol
_atom_site_fract_x
_atom_site_fract_y
_atom_site_fract_z
_atom_site_occupancy
Re1 Re 0.000 0.000 0.000 1
Se1 Se 0.500 0.500 0.500 1
N1 N 0.000 0.000 0.500 1
O1 O 0.000 0.500 0.000 1
```

Entry 2:
DFT (PBE-GGA) results for crystalline K2RbAl2 at its relaxed geometry.

## Properties
- formation enthalpy at 0 K (eV/atom) = 0.335
- E above lowest polymorph (eV/atom) = 0.000
- VASP energy (eV/atom) = -1.795

Cell and atoms, written as CIF:
```
data_K2RbAl2
_chemical_formula_sum 'K4 Rb2 Al4'
_space_group_name_H-M_alt 'P 4/m b m'
_space_group_IT_number 127
_space_group_name_Hall '-P 4 2ab'
_cell_length_a 9.817
_cell_length_b 9.817
_cell_length_c 4.638
_cell_angle_alpha 90.00
_cell_angle_beta 90.00
_cell_angle_gamma 90.00
loop_
_atom_site_label
_atom_site_type_symbol
_atom_site_fract_x
_atom_site_fract_y
_atom_site_fract_z
_atom_site_occupancy
K1 K 0.185 0.315 0.000 1
Rb1 Rb 0.000 0.000 0.500 1
Al1 Al 0.092 0.592 0.500 1
```

Entry 3:
DFT (PBE-GGA) results for crystalline Ac2La3CeSe6 at its relaxed geometry.

## Properties
- VASP energy (eV/atom) = -6.070
- formation energy without anion corrections (eV/atom) = -1.916

Cell and atoms, written as CIF:
```
data_Ac2La3CeSe6
_chemical_formula_sum 'Ac4 La6 Ce2 Se12'
_space_group_name_H-M_alt 'C 1 2/m 1'
_space_group_IT_number 12
_cell_length_a 18.973
_cell_length_b 4.340
_cell_length_c 8.741
_cell_angle_alpha 90.00
_cell_angle_beta 103.31
_cell_angle_gamma 90.00
loop_
_space_group_symop_operation_xyz
'x,y,z'
'-x,-y,-z'
'-x,y,-z'
'x,-y,z'
'x+1/2,y+1/2,z'
'-x+1/2,-y+1/2,-z'
'-x+1/2,y+1/2,-z'
'x+1/2,-y+1/2,z'
loop_
_atom_site_label
_atom_site_type_symbol
_atom_site_fract_x
_atom_site_fract_y
_atom_site_fract_z
_atom_site_occupancy
Ac1 Ac 0.165 0.000 0.331 1
La1 La 0.000 0.500 0.500 1
La2 La 0.168 0.000 0.836 1
Ce1 Ce 0.000 0.500 0.000 1
Se1 Se 0.004 0.000 0.756 1
Se2 Se 0.164 0.500 0.076 1
Se3 Se 0.165 0.500 0.589 1
```

Entry 4:
DFT (PBE-GGA) results for crystalline PmNdAlSn at its relaxed geometry.

## Properties
- formation enthalpy at 0 K (eV/atom) = -0.610
- E above lowest polymorph (eV/atom) = 0.000
- VASP energy (eV/atom) = -4.926

Cell and atoms, written as CIF:
```
data_PmNdAlSn
_chemical_formula_sum 'Pm2 Nd2 Al2 Sn2'
_space_group_name_H-M_alt 'A m m 2'
_space_group_IT_number 38
_cell_length_a 4.295
_cell_length_b 4.626
_cell_length_c 11.592
_cell_angle_alpha 90.00
_cell_angle_beta 90.00
_cell_angle_gamma 90.00
loop_
_space_group_symop_operation_xyz
'x,y,z'
'-x,-y,z'
'-x,y,z'
'x,-y,z'
'x,y+1/2,z+1/2'
'-x,-y+1/2,z+1/2'
'-x,y+1/2,z+1/2'
'x,-y+1/2,z+1/2'
loop_
_atom_site_label
_atom_site_type_symbol
_atom_site_fract_x
_atom_site_fract_y
_atom_site_fract_z
_atom_site_occupancy
Pm1 Pm 0.000 0.000 0.000 1
Nd1 Nd 0.500 0.000 0.719 1
Al1 Al 0.500 0.000 0.441 1
Sn1 Sn 0.000 0.000 0.286 1
```

Entry 5:
DFT (PBE-GGA) results for crystalline LiPaBrCl4 at its relaxed geometry.

## Properties
- VASP energy (eV/atom) = -4.658
- formation energy without anion corrections (eV/atom) = -1.734

Cell and atoms, written as CIF:
```
data_LiPaBrCl4
_chemical_formula_sum 'Li4 Pa4 Br4 Cl16'
_space_group_name_H-M_alt 'C 1 2/m 1'
_space_group_IT_number 12
_cell_length_a 11.983
_cell_length_b 8.680
_cell_length_c 8.561
_cell_angle_alpha 90.00
_cell_angle_beta 104.60
_cell_angle_gamma 90.00
loop_
_space_group_symop_operation_xyz
'x,y,z'
'-x,-y,-z'
'-x,y,-z'
'x,-y,z'
'x+1/2,y+1/2,z'
'-x+1/2,-y+1/2,-z'
'-x+1/2,y+1/2,-z'
'x+1/2,-y+1/2,z'
loop_
_atom_site_label
_atom_site_type_symbol
_atom_site_fract_x
_atom_site_fract_y
_atom_site_fract_z
_atom_site_occupancy
Li1 Li 0.138 0.000 0.318 1
Pa1 Pa 0.211 0.500 0.110 1
Br1 Br 0.027 0.500 0.815 1
Cl1 Cl 0.064 0.000 0.782 1
Cl2 Cl 0.199 0.189 0.146 1
Cl3 Cl 0.234 0.500 0.426 1
```

Entry 6:
DFT (PBE-GGA) results for crystalline MnPSeSN at its relaxed geometry.

## Properties
- E above lowest polymorph (eV/atom) = 0.203
- VASP energy (eV/atom) = -6.020
- formation energy without anion corrections (eV/atom) = 0.084

Cell and atoms, written as CIF:
```
data_MnPSeSN
_chemical_formula_sum 'Mn2 P2 Se2 S2 N2'
_space_group_name_H-M_alt 'C 1 m 1'
_space_group_IT_number 8
_cell_length_a 10.170
_cell_length_b 2.960
_cell_length_c 6.444
_cell_angle_alpha 90.00
_cell_angle_beta 123.93
_cell_angle_gamma 90.00
loop_
_space_group_symop_operation_xyz
'x,y,z'
'x,-y,z'
'x+1/2,y+1/2,z'
'x+1/2,-y+1/2,z'
loop_
_atom_site_label
_atom_site_type_symbol
_atom_site_fract_x
_atom_site_fract_y
_atom_site_fract_z
_atom_site_occupancy
Mn1 Mn 0.000 0.000 0.000 1
P1 P 0.180 0.500 0.037 1
Se1 Se 0.111 0.000 0.450 1
S1 S 0.392 0.000 0.677 1
N1 N 0.325 0.500 0.021 1
```

Entry 7:
DFT (PBE-GGA) results for crystalline PuHg2Bi4 at its relaxed geometry.

## Properties
- formation enthalpy at 0 K (eV/atom) = -0.075
- VASP energy (eV/atom) = -4.426

Cell and atoms, written as CIF:
```
data_PuHg2Bi4
_chemical_formula_sum 'Pu2 Hg4 Bi8'
_space_group_name_H-M_alt 'C m m m'
_space_group_IT_number 65
_space_group_name_Hall '-C 2 2'
_cell_length_a 9.032
_cell_length_b 9.789
_cell_length_c 4.795
_cell_angle_alpha 90.00
_cell_angle_beta 90.00
_cell_angle_gamma 90.00
loop_
_atom_site_label
_atom_site_type_symbol
_atom_site_fract_x
_atom_site_fract_y
_atom_site_fract_z
_atom_site_occupancy
Pu1 Pu 0.000 0.000 0.000 1
Hg1 Hg 0.000 0.245 0.500 1
Bi1 Bi 0.226 0.500 0.500 1
Bi2 Bi 0.250 0.250 0.000 1
```

Entry 8:
DFT (PBE-GGA) results for crystalline Sm2Y3Hg2 at its relaxed geometry.

## Properties
- formation enthalpy at 0 K (eV/atom) = -0.238
- VASP energy (eV/atom) = -4.443

Cell and atoms, written as CIF:
```
data_Sm2Y3Hg2
_chemical_formula_sum 'Sm6 Y9 Hg6'
_space_group_name_H-M_alt 'R -3 m'
_space_group_IT_number 166
_space_group_name_Hall '-R 3 2"'
_cell_length_a 5.4240
_cell_length_b 5.4240
_cell_length_c 23.9925
_cell_angle_alpha 90.00
_cell_angle_beta 90.00
_cell_angle_gamma 120.00
loop_
_atom_site_label
_atom_site_type_symbol
_atom_site_fract_x
_atom_site_fract_y
_atom_site_fract_z
_atom_site_occupancy
Sm1 Sm 0.0000 0.0000 0.0761 1
Y1 Y 0.0000 0.0000 0.3423 1
Y2 Y 0.0000 0.0000 0.5000 1
Hg1 Hg 0.0000 0.0000 0.2144 1
```

Entry 9:
DFT (PBE-GGA) results for crystalline Na2USe4 at its relaxed geometry.

## Properties
- VASP energy (eV/atom) = -5.025
- formation energy without anion corrections (eV/atom) = -1.044

Cell and atoms, written as CIF:
```
data_Na2USe4
_chemical_formula_sum 'Na4 U2 Se8'
_space_group_name_H-M_alt 'P b a m'
_space_group_IT_number 55
_cell_length_a 8.459
_cell_length_b 12.210
_cell_length_c 4.215
_cell_angle_alpha 90.00
_cell_angle_beta 90.00
_cell_angle_gamma 90.00
loop_
_space_group_symop_operation_xyz
'x,y,z'
'-x,-y,-z'
'-x,-y,z'
'x,y,-z'
'x+1/2,-y+1/2,-z'
'-x+1/2,y+1/2,z'
'-x+1/2,y+1/2,-z'
'x+1/2,-y+1/2,z'
loop_
_atom_site_label
_atom_site_type_symbol
_atom_site_fract_x
_atom_site_fract_y
_atom_site_fract_z
_atom_site_occupancy
Na1 Na 0.245 0.248 0.000 1
U1 U 0.000 0.500 0.500 1
Se1 Se 0.004 0.715 0.500 1
Se2 Se 0.210 0.498 0.000 1
```

Entry 10:
DFT (PBE-GGA) results for crystalline TcAg2W at its relaxed geometry.

## Properties
- formation enthalpy at 0 K (eV/atom) = 1.068
- E above lowest polymorph (eV/atom) = 0.745
- VASP energy (eV/atom) = -6.188

Cell and atoms, written as CIF:
```
data_TcAg2W
_chemical_formula_sum 'Tc4 Ag8 W4'
_space_group_name_H-M_alt 'F m -3 m'
_space_group_IT_number 225
_space_group_name_Hall '-F 4 2 3'
_cell_length_a 6.392
_cell_length_b 6.392
_cell_length_c 6.392
_cell_angle_alpha 90.00
_cell_angle_beta 90.00
_cell_angle_gamma 90.00
loop_
_atom_site_label
_atom_site_type_symbol
_atom_site_fract_x
_atom_site_fract_y
_atom_site_fract_z
_atom_site_occupancy
Tc1 Tc 0.000 0.000 0.000 1
Ag1 Ag 0.250 0.250 0.250 1
W1 W 0.000 0.000 0.500 1
```

Entry 11:
DFT (PBE-GGA) results for crystalline YPbI at its relaxed geometry.

## Properties
- VASP energy (eV/atom) = -4.473
- formation energy without anion corrections (eV/atom) = -0.566

Cell and atoms, written as CIF:
```
data_YPbI
_chemical_formula_sum 'Y4 Pb4 I4'
_space_group_name_H-M_alt 'C 1 2/m 1'
_space_group_IT_number 12
_cell_length_a 16.126
_cell_length_b 4.024
_cell_length_c 8.861
_cell_angle_alpha 90.00
_cell_angle_beta 120.58
_cell_angle_gamma 90.00
loop_
_space_group_symop_operation_xyz
'x,y,z'
'-x,-y,-z'
'-x,y,-z'
'x,-y,z'
'x+1/2,y+1/2,z'
'-x+1/2,-y+1/2,-z'
'-x+1/2,y+1/2,-z'
'x+1/2,-y+1/2,z'
loop_
_atom_site_label
_atom_site_type_symbol
_atom_site_fract_x
_atom_site_fract_y
_atom_site_fract_z
_atom_site_occupancy
Y1 Y 0.242 0.000 0.206 1
Pb1 Pb 0.162 0.000 0.461 1
I1 I 0.107 0.500 0.915 1
```

Entry 12:
DFT (PBE-GGA) results for crystalline NdTm4Sb5 at its relaxed geometry.

## Properties
- VASP energy (eV/atom) = -5.410
- formation energy without anion corrections (eV/atom) = -1.083

Cell and atoms, written as CIF:
```
data_NdTm4Sb5
_chemical_formula_sum 'Nd2 Tm8 Sb10'
_space_group_name_H-M_alt 'I m m m'
_space_group_IT_number 71
_space_group_name_Hall '-I 2 2'
_cell_length_a 4.374
_cell_length_b 6.194
_cell_length_c 21.866
_cell_angle_alpha 90.00
_cell_angle_beta 90.00
_cell_angle_gamma 90.00
loop_
_atom_site_label
_atom_site_type_symbol
_atom_site_fract_x
_atom_site_fract_y
_atom_site_fract_z
_atom_site_occupancy
Nd1 Nd 0.000 0.000 0.000 1
Tm1 Tm 0.000 0.000 0.202 1
Tm2 Tm 0.000 0.000 0.400 1
Sb1 Sb 0.000 0.500 0.000 1
Sb2 Sb 0.000 0.500 0.199 1
Sb3 Sb 0.000 0.500 0.395 1
```

Entry 13:
DFT (PBE-GGA) results for crystalline Ac2YSi3Pt4 at its relaxed geometry.

## Properties
- VASP energy (eV/atom) = -6.544
- formation energy without anion corrections (eV/atom) = -1.033

Cell and atoms, written as CIF:
```
data_Ac2YSi3Pt4
_chemical_formula_sum 'Ac2 Y1 Si3 Pt4'
_space_group_name_H-M_alt 'P -4 m 2'
_space_group_IT_number 115
_cell_length_a 4.394
_cell_length_b 4.394
_cell_length_c 10.927
_cell_angle_alpha 90.00
_cell_angle_beta 90.00
_cell_angle_gamma 90.00
loop_
_space_group_symop_operation_xyz
'x,y,z'
'y,-x,-z'
'-x,-y,z'
'-y,x,-z'
'-x,y,z'
'-y,-x,-z'
'x,-y,z'
'y,x,-z'
loop_
_atom_site_label
_atom_site_type_symbol
_atom_site_fract_x
_atom_site_fract_y
_atom_site_fract_z
_atom_site_occupancy
Ac1 Ac 0.000 0.500 0.232 1
Y1 Y 0.000 0.000 0.500 1
Si1 Si 0.000 0.500 0.886 1
Si2 Si 0.500 0.500 0.500 1
Pt1 Pt 0.000 0.000 0.000 1
Pt2 Pt 0.000 0.500 0.661 1
Pt3 Pt 0.500 0.500 0.000 1
```

Entry 14:
DFT (PBE-GGA) results for crystalline Li12Cd17 at its relaxed geometry.

## Properties
- formation enthalpy at 0 K (eV/atom) = -0.154
- VASP energy (eV/atom) = -1.483

Cell and atoms, written as CIF:
```
data_Li12Cd17
_chemical_formula_sum 'Li24 Cd34'
_space_group_name_H-M_alt 'I -4 3 m'
_space_group_IT_number 217
_space_group_name_Hall 'I -4 2 3'
_cell_length_a 10.395
_cell_length_b 10.395
_cell_length_c 10.395
_cell_angle_alpha 90.00
_cell_angle_beta 90.00
_cell_angle_gamma 90.00
loop_
_atom_site_label
_atom_site_type_symbol
_atom_site_fract_x
_atom_site_fract_y
_atom_site_fract_z
_atom_site_occupancy
Li1 Li 0.091 0.091 0.282 1
Cd1 Cd 0.000 0.000 0.000 1
Cd2 Cd 0.048 0.360 0.360 1
Cd3 Cd 0.172 0.172 0.828 1
```

Entry 15:
DFT (PBE-GGA) results for crystalline NaEu2Zn at its relaxed geometry.

## Properties
- formation enthalpy at 0 K (eV/atom) = -0.113
- E above lowest polymorph (eV/atom) = 0.000
- VASP energy (eV/atom) = -5.898

Cell and atoms, written as CIF:
```
data_NaEu2Zn
_chemical_formula_sum 'Na1 Eu2 Zn1'
_space_group_name_H-M_alt 'P 4/m m m'
_space_group_IT_number 123
_space_group_name_Hall '-P 4 2'
_cell_length_a 3.809
_cell_length_b 3.809
_cell_length_c 9.198
_cell_angle_alpha 90.00
_cell_angle_beta 90.00
_cell_angle_gamma 90.00
loop_
_atom_site_label
_atom_site_type_symbol
_atom_site_fract_x
_atom_site_fract_y
_atom_site_fract_z
_atom_site_occupancy
Na1 Na 0.000 0.000 0.000 1
Eu1 Eu 0.500 0.500 0.305 1
Zn1 Zn 0.000 0.000 0.500 1
```

Entry 16:
DFT (PBE-GGA) results for crystalline Cs3Ni5Cl12 at its relaxed geometry.

## Properties
- VASP energy (eV/atom) = -3.545
- formation energy without anion corrections (eV/atom) = -0.864

Cell and atoms, written as CIF:
```
data_Cs3Ni5Cl12
_chemical_formula_sum 'Cs24 Ni40 Cl96'
_space_group_name_H-M_alt 'I a -3 d'
_space_group_IT_number 230
_space_group_name_Hall '-I 4bd 2c 3'
_cell_length_a 16.223
_cell_length_b 16.223
_cell_length_c 16.223
_cell_angle_alpha 90.00
_cell_angle_beta 90.00
_cell_angle_gamma 90.00
loop_
_atom_site_label
_atom_site_type_symbol
_atom_site_fract_x
_atom_site_fract_y
_atom_site_fract_z
_atom_site_occupancy
Cs1 Cs 0.000 0.250 0.125 1
Ni1 Ni 0.000 0.000 0.000 1
Ni2 Ni 0.000 0.250 0.375 1
Cl1 Cl 0.042 0.142 0.955 1
```

Entry 17:
DFT (PBE-GGA) results for crystalline LiNdSn4Pd2 at its relaxed geometry.

## Properties
- formation enthalpy at 0 K (eV/atom) = -0.524
- VASP energy (eV/atom) = -4.659

Cell and atoms, written as CIF:
```
data_LiNdSn4Pd2
_chemical_formula_sum 'Li3 Nd3 Sn12 Pd6'
_space_group_name_H-M_alt 'R -3 m'
_space_group_IT_number 166
_space_group_name_Hall '-R 3 2"'
_cell_length_a 4.6002
_cell_length_b 4.6002
_cell_length_c 29.1932
_cell_angle_alpha 90.00
_cell_angle_beta 90.00
_cell_angle_gamma 120.00
loop_
_atom_site_label
_atom_site_type_symbol
_atom_site_fract_x
_atom_site_fract_y
_atom_site_fract_z
_atom_site_occupancy
Li1 Li 0.0000 0.0000 0.0000 1
Nd1 Nd 0.0000 0.0000 0.5000 1
Sn1 Sn 0.0000 0.0000 0.1058 1
Sn2 Sn 0.0000 0.0000 0.3749 1
Pd1 Pd 0.0000 0.0000 0.2562 1
```

Entry 18:
DFT (PBE-GGA) results for crystalline SbPbW2 at its relaxed geometry.

## Properties
- E above lowest polymorph (eV/atom) = 0.361
- VASP energy (eV/atom) = -7.695
- formation energy without anion corrections (eV/atom) = 0.739

Cell and atoms, written as CIF:
```
data_SbPbW2
_chemical_formula_sum 'Sb2 Pb2 W4'
_space_group_name_H-M_alt 'C 1 m 1'
_space_group_IT_number 8
_cell_length_a 10.164
_cell_length_b 3.288
_cell_length_c 5.314
_cell_angle_alpha 90.00
_cell_angle_beta 111.02
_cell_angle_gamma 90.00
loop_
_space_group_symop_operation_xyz
'x,y,z'
'x,-y,z'
'x+1/2,y+1/2,z'
'x+1/2,-y+1/2,z'
loop_
_atom_site_label
_atom_site_type_symbol
_atom_site_fract_x
_atom_site_fract_y
_atom_site_fract_z
_atom_site_occupancy
Sb1 Sb 0.000 0.000 0.000 1
Pb1 Pb 0.210 0.000 0.639 1
W1 W 0.265 0.500 0.165 1
W2 W 0.446 0.000 0.474 1
```

Entry 19:
DFT (PBE-GGA) results for crystalline KLiCe2S4 at its relaxed geometry.

## Properties
- VASP energy (eV/atom) = -5.696
- formation energy without anion corrections (eV/atom) = -1.773

Cell and atoms, written as CIF:
```
data_KLiCe2S4
_chemical_formula_sum 'K4 Li4 Ce8 S16'
_space_group_name_H-M_alt 'C m c m'
_space_group_IT_number 63
_space_group_name_Hall '-C 2c 2'
_cell_length_a 4.154
_cell_length_b 13.797
_cell_length_c 14.213
_cell_angle_alpha 90.00
_cell_angle_beta 90.00
_cell_angle_gamma 90.00
loop_
_atom_site_label
_atom_site_type_symbol
_atom_site_fract_x
_atom_site_fract_y
_atom_site_fract_z
_atom_site_occupancy
K1 K 0.000 0.107 0.250 1
Li1 Li 0.000 0.165 0.750 1
Ce1 Ce 0.000 0.369 0.059 1
S1 S 0.000 0.000 0.000 1
S2 S 0.000 0.261 0.609 1
S3 S 0.000 0.425 0.250 1
```